VASP calculation (PBE) on a relaxed Ac3CdAg2Pd9 crystal.

## Properties
Size of the total moment   0.0 μB/f.u.
Space-group type   No. 164
Mass density   9.0 Mg/m³
ΔE_f   -0.16 eV per atom

a = 8.0579 Å, b = 8.0579 Å, c = 6.4440 Å
α = 90.00°, β = 90.00°, γ = 120.00°
With the nearest neighbours (Å) after each atom.
Positions (direct):
Ag  0.3333  0.6667  0.1686  6 Pd 2.56-2.57
Ag  0.6667  0.3333  0.8314  6 Pd 2.56-2.57
Ac  0.0000  0.0000  0.0000  6 Pd 3.11, 2 Cd 3.22
Ac  0.3333  0.6667  0.6694  6 Pd 3.15-3.24, 2 Ag 3.22-3.23
Ac  0.6667  0.3333  0.3306  6 Pd 3.15-3.24, 2 Ag 3.22-3.23
Pd  0.0000  0.5000  0.0000  2 Ag 2.57
Pd  0.8351  0.1649  0.6758  1 Ag 2.56, 1 Cd 2.56
Pd  0.1649  0.3298  0.3242  1 Ag 2.56, 1 Cd 2.56
Pd  0.5000  0.0000  0.0000  2 Ag 2.57
Pd  0.1649  0.8351  0.3242  1 Ag 2.56, 1 Cd 2.56
Pd  0.8351  0.6702  0.6758  1 Ag 2.56, 1 Cd 2.56
Pd  0.3298  0.1649  0.6758  1 Ag 2.56, 1 Cd 2.56
Pd  0.5000  0.5000  0.0000  2 Ag 2.57
Pd  0.6702  0.8351  0.3242  1 Ag 2.56, 1 Cd 2.56
Cd  0.0000  0.0000  0.5000  6 Pd 2.56



VASP calculation (PBE) on a relaxed Ac2CdAgPd6 crystal.

## Properties
Size of the total moment   0.0 μB/f.u.
Space-group type   No. 225
Mass density   8.8 Mg/m³
ΔE_f   -0.06 eV per atom

a = 7.0552 Å, b = 7.0552 Å, c = 7.0552 Å
α = 60.00°, β = 60.00°, γ = 90.00°
With the nearest neighbours (Å) after each atom.
Positions (direct):
Pd  0.2499  0.2499  0.5002  1 Ag 2.49, 1 Cd 2.50
Pd  0.7501  0.2499  0.0000  1 Ag 2.49, 1 Cd 2.50
Pd  0.7501  0.7501  0.4998  1 Ag 2.49, 1 Cd 2.50
Pd  0.2499  0.2499  0.0000  1 Ag 2.49, 1 Cd 2.50
Pd  0.7501  0.7501  0.0000  1 Ag 2.49, 1 Cd 2.50
Pd  0.2499  0.7501  0.0000  1 Ag 2.49, 1 Cd 2.50
Cd  0.5000  0.5000  0.0000  6 Pd 2.50
Ac  0.7500  0.2500  0.5000  12 Pd 3.53
Ac  0.2500  0.7500  0.5000  12 Pd 3.53
Ag  0.0000  0.0000  0.0000  6 Pd 2.49



VASP calculation (PBE) on a relaxed AcCdAgPd2 crystal.

## Properties
Size of the total moment   0.0 μB/f.u.
Space-group type   No. 67
Mass density   9.5 Mg/m³
ΔE_f   -0.45 eV per atom

a = 5.6680 Å, b = 5.7564 Å, c = 7.6163 Å
α = 112.20°, β = 90.00°, γ = 90.00°
With the nearest neighbours (Å) after each atom.
Positions (direct):
Ag  0.0000  0.5000  0.0000  2 Pd 2.70, 2 Ag 2.88
Ag  0.0000  0.0000  0.0000  2 Pd 2.70, 2 Ag 2.88
Pd  0.2834  0.1539  0.3078  1 Ag 2.70, 1 Pd 2.71, 2 Cd 2.88
Pd  0.7166  0.8461  0.6922  1 Ag 2.70, 1 Pd 2.71, 2 Cd 2.88
Pd  0.2834  0.3461  0.6922  1 Ag 2.70, 1 Pd 2.71, 2 Cd 2.88
Pd  0.7166  0.6539  0.3078  1 Ag 2.70, 1 Pd 2.71, 2 Cd 2.88
Ac  0.2370  0.7500  0.5000  8 Pd 3.04-3.25
Ac  0.7630  0.2500  0.5000  8 Pd 3.04-3.25
Cd  0.5000  0.2500  0.0000  2 Cd 2.88, 4 Pd 2.88, 4 Ag 3.18
Cd  0.5000  0.7500  0.0000  2 Cd 2.88, 4 Pd 2.88, 4 Ag 3.18